# 1
# Y2TcMo (PBE, optimized geometry)
# **Final energy**: -8.043 eV/atom
# **Magnetic moment**: 0.00 μB/f.u.
# **Fermi-level density of states**: 10.49 states/eV per cell
# **Formation energy**: 188 kJ/mol of formula units
# **Calculated volume**: 82.6 Å³/f.u.
# **Excess energy over the best structure of this formula in the dataset**: 0.4418 eV/atom
data_Y2TcMo
_cell_length_a 6.1412
_cell_length_b 9.2266
_cell_length_c 3.0910
_cell_angle_alpha 90.00
_cell_angle_beta 109.48
_cell_angle_gamma 90.00
_symmetry_space_group_name_H-M 'C 1 2/m 1'
_symmetry_Int_Tables_number 12
loop_
_symmetry_equiv_pos_as_xyz
'x,y,z'
'-x,-y,-z'
'-x,y,-z'
'x,-y,z'
'x+1/2,y+1/2,z'
'-x+1/2,-y+1/2,-z'
'-x+1/2,y+1/2,-z'
'x+1/2,-y+1/2,z'
loop_
_atom_site_label
_atom_site_fract_x
_atom_site_fract_y
_atom_site_fract_z
_atom_site_occupancy
Y1 0.2500 0.2500 0.0000 1
Tc1 0.0000 0.0000 0.5000 1
Mo1 0.0000 0.5000 0.5000 1

# 2
# YTcMo2 (PBE, optimized geometry)
# **Final energy**: -9.296 eV/atom
# **Magnetic moment**: 0.00 μB/f.u.
# **Fermi-level density of states**: 14.29 states/eV per cell
# **Formation energy**: 126 kJ/mol of formula units
# **Calculated volume**: 69.4 Å³/f.u.
# **Excess energy over the best structure of this formula in the dataset**: 0.1588 eV/atom
data_YTcMo2
_cell_length_a 6.5241
_cell_length_b 6.5241
_cell_length_c 6.5241
_cell_angle_alpha 90.00
_cell_angle_beta 90.00
_cell_angle_gamma 90.00
_symmetry_space_group_name_H-M 'F m -3 m'
_symmetry_Int_Tables_number 225
_symmetry_space_group_name_Hall '-F 4 2 3'
loop_
_atom_site_label
_atom_site_fract_x
_atom_site_fract_y
_atom_site_fract_z
_atom_site_occupancy
Y1 0.0000 0.0000 0.0000 1
Tc1 0.0000 0.0000 0.5000 1
Mo1 0.2500 0.2500 0.2500 1

# 3
# Y2TcMo (PBE, optimized geometry)
# **Final energy**: -8.051 eV/atom
# **Magnetic moment**: 0.00 μB/f.u.
# **Fermi-level density of states**: 5.55 states/eV per cell
# **Formation energy**: 185 kJ/mol of formula units
# **Calculated volume**: 82.6 Å³/f.u.
# **Excess energy over the best structure of this formula in the dataset**: 0.4339 eV/atom
data_Y2TcMo
_cell_length_a 3.0876
_cell_length_b 4.6221
_cell_length_c 5.8999
_cell_angle_alpha 90.00
_cell_angle_beta 101.05
_cell_angle_gamma 90.00
_symmetry_space_group_name_H-M 'P 1 2/m 1'
_symmetry_Int_Tables_number 10
loop_
_symmetry_equiv_pos_as_xyz
'x,y,z'
'-x,-y,-z'
'-x,y,-z'
'x,-y,z'
loop_
_atom_site_label
_atom_site_fract_x
_atom_site_fract_y
_atom_site_fract_z
_atom_site_occupancy
Y1 0.2217 0.0000 0.2547 1
Tc1 0.0000 0.5000 0.5000 1
Mo1 0.5000 0.5000 0.0000 1

# 4
# YTcMo2 (PBE, optimized geometry)
# **Final energy**: -9.455 eV/atom
# **Magnetic moment**: 0.00 μB/f.u.
# **Fermi-level density of states**: 3.56 states/eV per cell
# **Formation energy**: 65 kJ/mol of formula units
# **Calculated volume**: 73.1 Å³/f.u.
# **Excess energy over the best structure of this formula in the dataset**: 0.0000 eV/atom
data_YTcMo2
_cell_length_a 3.2276
_cell_length_b 3.2276
_cell_length_c 7.0145
_cell_angle_alpha 90.00
_cell_angle_beta 90.00
_cell_angle_gamma 90.00
_symmetry_space_group_name_H-M 'P 4 m m'
_symmetry_Int_Tables_number 99
loop_
_symmetry_equiv_pos_as_xyz
'x,y,z'
'-y,x,z'
'-x,-y,z'
'y,-x,z'
'-x,y,z'
'y,x,z'
'x,-y,z'
'-y,-x,z'
loop_
_atom_site_label
_atom_site_fract_x
_atom_site_fract_y
_atom_site_fract_z
_atom_site_occupancy
Y1 0.0000 0.0000 0.0000 1
Tc1 0.5000 0.5000 0.7094 1
Mo1 0.0000 0.0000 0.5056 1
Mo2 0.5000 0.5000 0.2958 1